# HfMgFePt, optimized geometry, DFT PBE
data_HfMgFePt
_chemical_formula_sum 'Hf4 Mg4 Fe4 Pt4'
_cell_length_a 6.321
_cell_length_b 6.321
_cell_length_c 6.321
_cell_angle_alpha 90.00
_cell_angle_beta 90.00
_cell_angle_gamma 90.00
_symmetry_space_group_name_H-M 'F -4 3 m'
_symmetry_Int_Tables_number 216
_symmetry_space_group_name_Hall 'F -4 2 3'
loop_
_atom_site_label
_atom_site_type_symbol
_atom_site_fract_x
_atom_site_fract_y
_atom_site_fract_z
Hf1 Hf 0.000 0.000 0.000
Mg1 Mg 0.000 0.000 0.500
Fe1 Fe 0.250 0.250 0.750
Pt1 Pt 0.250 0.250 0.250
# **Crystal system**: cubic
# **M_tot**: 0.00 μB per atom
# **VASP energy**: -7.020 eV per atom

---

# HfMgFeRh, optimized geometry, DFT PBE
data_HfMgFeRh
_chemical_formula_sum 'Hf4 Mg4 Fe4 Rh4'
_cell_length_a 6.274
_cell_length_b 6.274
_cell_length_c 6.274
_cell_angle_alpha 90.00
_cell_angle_beta 90.00
_cell_angle_gamma 90.00
_symmetry_space_group_name_H-M 'F -4 3 m'
_symmetry_Int_Tables_number 216
_symmetry_space_group_name_Hall 'F -4 2 3'
loop_
_atom_site_label
_atom_site_type_symbol
_atom_site_fract_x
_atom_site_fract_y
_atom_site_fract_z
Hf1 Hf 0.000 0.000 0.000
Mg1 Mg 0.000 0.000 0.500
Fe1 Fe 0.250 0.250 0.250
Rh1 Rh 0.250 0.250 0.750
# **Crystal system**: cubic
# **M_tot**: 0.14 μB per atom
# **VASP energy**: -7.199 eV per atom

---

# HfMgFeRu2, optimized geometry, DFT PBE
data_HfMgFeRu2
_chemical_formula_sum 'Hf1 Mg1 Fe1 Ru2'
_cell_length_a 4.777
_cell_length_b 4.777
_cell_length_c 4.621
_cell_angle_alpha 90.00
_cell_angle_beta 90.00
_cell_angle_gamma 90.00
_symmetry_space_group_name_H-M 'P 4/m m m'
_symmetry_Int_Tables_number 123
_symmetry_space_group_name_Hall '-P 4 2'
loop_
_atom_site_label
_atom_site_type_symbol
_atom_site_fract_x
_atom_site_fract_y
_atom_site_fract_z
Hf1 Hf 0.000 0.000 0.000
Mg1 Mg 0.500 0.500 0.500
Fe1 Fe 0.000 0.000 0.500
Ru1 Ru 0.000 0.500 0.000
# **Crystal system**: tetragonal
# **M_tot**: 0.73 μB per atom
# **VASP energy**: -6.551 eV per atom